1.
Entry from the Alexandria database: crystalline Zn2MoW at its relaxed geometry (PBE).

Cell lengths 5.087, 5.087, 2.666 Å; angles 95.69, 95.69, 116.76 degrees
Atoms (fractional coordinates):
Zn  0.000  0.500  0.000
Zn  0.500  0.000  0.000
Mo  0.000  0.000  0.500
W  0.500  0.500  0.500

Values from the calculation:
Density of states at the Fermi level, states/eV/cell: 2.2
Space group: C2/m, No. 12
Energy of formation from the pure elements, kJ/mol of atoms: 20.1
Energy above the most stable polymorph in this dataset, eV/atom: 0.090

---

2.
Entry from the Alexandria database: crystalline Zn2MoW at its relaxed geometry (PBE).

Cell lengths 2.704, 2.704, 8.842 Å; angles 90.00, 90.00, 107.49 degrees
Atoms (fractional coordinates):
Zn  0.000  0.000  0.000
Zn  0.500  0.500  0.245
Mo  0.000  0.000  0.495
W  0.500  0.500  0.748

Values from the calculation:
Density of states at the Fermi level, states/eV/cell: 2.2
Space group: Cmm2, No. 35
Energy of formation from the pure elements, kJ/mol of atoms: 11.4
Energy above the most stable polymorph in this dataset, eV/atom: 0.000

---

3.
Entry from the Alexandria database: crystalline ZnMo2W at its relaxed geometry (PBE).

Cell lengths 2.641, 4.357, 5.465 Å; angles 90.00, 90.00, 90.00 degrees
Atoms (fractional coordinates):
Zn  0.000  0.000  0.000
Mo  0.000  0.000  0.500
Mo  0.500  0.500  0.245
W  0.500  0.500  0.751

Values from the calculation:
Density of states at the Fermi level, states/eV/cell: 3.4
Space group: Pmm2, No. 25
Energy of formation from the pure elements, kJ/mol of atoms: 26.1

---

> Which formula does entry 1 have?

Zn2MoW

---

> energy of formation from the pure elements of number 1 (Zn2MoW)?

20.1 kJ/mol of atoms